First-principles (GGA-PBE) data for crystalline LiNi2P2 at its relaxed geometry, as listed in the Alexandria database.

The space group is P4/mbm (No. 127) and the conventional cell measures 6.8533, 6.8533 and 2.6444 Å, with angles of 90.00, 90.00 and 90.00 degrees. Symmetry generates all atoms from Li at (0.0000, 0.0000, 0.0000), Ni at (0.1358, 0.3642, 0.5000) and P at (0.1563, 0.6563, 0.0000).

The formation energy comes out at -0.321 eV/atom. The value obtained for the raw total energy is -25.90 eV per formula unit. For the total magnetization, the calculation gives 0.0 μB per formula unit.

---

First-principles (GGA-PBE) data for crystalline Pm3Y6Tm2Sc at its relaxed geometry, as listed in the Alexandria database.

The space group is C2/m (No. 12) and the conventional cell measures 6.1650, 10.6719 and 11.7504 Å, with angles of 90.00, 100.06 and 90.00 degrees. Symmetry generates all atoms from Pm at (0.0000, 0.0000, 0.0000), Pm at (0.0000, 0.3334, 0.0000), Y at (0.2464, 0.3344, 0.7437), Y at (0.2497, 0.0000, 0.7439), Tm at (0.0000, 0.1666, 0.5000) and Sc at (0.0000, 0.5000, 0.5000).

The formation energy comes out at 0.033 eV/atom. The value obtained for the raw total energy is -67.91 eV per formula unit. For the total magnetization, the calculation gives 0.0 μB per formula unit.

---

First-principles (GGA-PBE) data for crystalline ScAgOsRh2 at its relaxed geometry, as listed in the Alexandria database.

The space group is P4/mmm (No. 123) and the conventional cell measures 4.6206, 4.6206 and 4.7321 Å, with angles of 90.00, 90.00 and 90.00 degrees. Symmetry generates all atoms from Sc at (0.0000, 0.0000, 0.0000), Ag at (0.5000, 0.5000, 0.5000), Os at (0.0000, 0.0000, 0.5000) and Rh at (0.0000, 0.5000, 0.0000).

The formation energy comes out at 1.346 eV/atom. The value obtained for the raw total energy is -28.38 eV per formula unit. For the total magnetization, the calculation gives 2.4 μB per formula unit.

---

First-principles (GGA-PBE) data for crystalline ZrZnCr2 at its relaxed geometry, as listed in the Alexandria database.

The space group is Cmmm (No. 65) and the conventional cell measures 3.2956, 4.1622 and 8.6644 Å, with angles of 90.00, 90.00 and 90.00 degrees. Symmetry generates all atoms from Zr at (0.0000, 0.0000, 0.0000), Zn at (0.0000, 0.0000, 0.5000) and Cr at (0.0000, 0.5000, 0.2684).

The formation energy comes out at 0.434 eV/atom. The value obtained for the raw total energy is -27.33 eV per formula unit. For the total magnetization, the calculation gives 0.0 μB per formula unit.

---

First-principles (GGA-PBE) data for crystalline CdPtCl at its relaxed geometry, as listed in the Alexandria database.

The space group is F-43m (No. 216) and the conventional cell measures 6.4221, 6.4221 and 6.4221 Å, with angles of 90.00, 90.00 and 90.00 degrees. Symmetry generates all atoms from Cd at (0.0000, 0.0000, 0.0000), Pt at (0.2500, 0.2500, 0.7500) and Cl at (0.0000, 0.0000, 0.5000).

The value obtained for the raw total energy is -8.50 eV per formula unit. For the total magnetization, the calculation gives 0.0 μB per formula unit. Its formation energy from raw total energies is 0.10 eV per atom. For the polymorph energy (0 for the lowest one), the calculation gives 0.531 eV/f.u.

---

First-principles (GGA-PBE) data for crystalline TeWC3 at its relaxed geometry, as listed in the Alexandria database.

The space group is Pm-3m (No. 221) and the conventional cell measures 4.1726, 4.1726 and 4.1726 Å, with angles of 90.00, 90.00 and 90.00 degrees. Symmetry generates all atoms from Te at (0.0000, 0.0000, 0.0000), W at (0.5000, 0.5000, 0.5000) and C at (0.0000, 0.5000, 0.5000).

The value obtained for the raw total energy is -33.80 eV per formula unit. For the total magnetization, the calculation gives 0.0 μB per formula unit. Its formation energy from raw total energies is 1.99 eV per atom. For the polymorph energy (0 for the lowest one), the calculation gives 0.000 eV/f.u.

---

First-principles (GGA-PBE) data for crystalline Na3Rh at its relaxed geometry, as listed in the Alexandria database.

The space group is I4/mmm (No. 139) and the conventional cell measures 4.5158, 4.5158 and 8.6717 Å, with angles of 90.00, 90.00 and 90.00 degrees. Symmetry generates all atoms from Na at (0.0000, 0.0000, 0.0000), Na at (0.0000, 0.5000, 0.2500) and Rh at (0.0000, 0.0000, 0.5000).

The formation energy comes out at 0.352 eV/atom. The value obtained for the raw total energy is -9.90 eV per formula unit. For the total magnetization, the calculation gives 0.0 μB per formula unit.

---

First-principles (GGA-PBE) data for crystalline Y6Sb5As at its relaxed geometry, as listed in the Alexandria database.

The space group is C2/m (No. 12) and the conventional cell measures 7.5377, 13.0383 and 7.5257 Å, with angles of 90.00, 109.50 and 90.00 degrees. Symmetry generates all atoms from Y at (0.2397, 0.0000, 0.2532), Y at (0.2416, 0.1611, 0.7425), Sb at (0.0000, 0.1708, 0.0000), Sb at (0.0000, 0.3342, 0.5000), Sb at (0.0000, 0.5000, 0.0000) and As at (0.0000, 0.0000, 0.5000).

The value obtained for the raw total energy is -78.66 eV per formula unit. For the total magnetization, the calculation gives 0.0 μB per formula unit. Its formation energy from raw total energies is -1.22 eV per atom.

---

First-principles (GGA-PBE) data for crystalline GaSeS at its relaxed geometry, as listed in the Alexandria database.

The space group is P1 (No. 1) and the conventional cell measures 3.7246, 5.7386 and 7.0301 Å, with angles of 71.98, 87.56 and 89.84 degrees. Symmetry generates all atoms from Ga at (0.0000, 0.0000, 0.0000), Ga at (0.3902, 0.2437, 0.2975), Se at (0.0249, 0.8084, 0.7405), Se at (0.2995, 0.4125, 0.9239), S at (0.4850, 0.8740, 0.2193) and S at (0.8778, 0.2947, 0.4682).

The value obtained for the raw total energy is -11.87 eV per formula unit. For the total magnetization, the calculation gives 0.0 μB per formula unit. Its formation energy from raw total energies is -0.41 eV per atom. For the polymorph energy (0 for the lowest one), the calculation gives 0.113 eV/f.u.

---

First-principles (GGA-PBE) data for crystalline Ni6Ge at its relaxed geometry, as listed in the Alexandria database.

The space group is Im-3m (No. 229) and the conventional cell measures 6.2021, 6.2021 and 6.2021 Å, with angles of 90.00, 90.00 and 90.00 degrees. Symmetry generates all atoms from Ni at (0.0000, 0.2500, 0.5000) and Ge at (0.0000, 0.0000, 0.0000).

The formation energy comes out at 1.012 eV/atom. The value obtained for the raw total energy is -32.22 eV per formula unit. For the total magnetization, the calculation gives 4.7 μB per formula unit.

---

First-principles (GGA-PBE) data for crystalline ZrTl2Ni at its relaxed geometry, as listed in the Alexandria database.

The space group is I-4m2 (No. 119) and the conventional cell measures 4.2989, 4.2989 and 8.9889 Å, with angles of 90.00, 90.00 and 90.00 degrees. Symmetry generates all atoms from Zr at (0.0000, 0.0000, 0.0000), Tl at (0.0000, 0.0000, 0.5000), Tl at (0.0000, 0.5000, 0.2500) and Ni at (0.0000, 0.5000, 0.7500).

The formation energy comes out at 0.203 eV/atom. The value obtained for the raw total energy is -18.25 eV per formula unit. For the total magnetization, the calculation gives 0.0 μB per formula unit.

---

First-principles (GGA-PBE) data for crystalline LiNiSeN2 at its relaxed geometry, as listed in the Alexandria database.

The space group is P4/mmm (No. 123) and the conventional cell measures 3.6409, 3.6409 and 5.2021 Å, with angles of 90.00, 90.00 and 90.00 degrees. Symmetry generates all atoms from Li at (0.0000, 0.0000, 0.0000), Ni at (0.5000, 0.5000, 0.5000), Se at (0.5000, 0.5000, 0.0000) and N at (0.0000, 0.5000, 0.5000).

The value obtained for the raw total energy is -23.64 eV per formula unit. For the total magnetization, the calculation gives 1.5 μB per formula unit. Its formation energy from raw total energies is 0.84 eV per atom. For the polymorph energy (0 for the lowest one), the calculation gives 0.000 eV/f.u.

---

First-principles (GGA-PBE) data for crystalline ThTlReO6 at its relaxed geometry, as listed in the Alexandria database.

The space group is P312 (No. 149) and the conventional cell measures 5.7818, 5.7818 and 5.8807 Å, with angles of 90.00, 90.00 and 120.00 degrees. Symmetry generates all atoms from Th at (0.0000, 0.0000, 0.0000), Tl at (0.6667, 0.3333, 0.5000), Re at (0.3333, 0.6667, 0.0000) and O at (0.0764, 0.3828, 0.1849).

The value obtained for the raw total energy is -70.93 eV per formula unit. For the total magnetization, the calculation gives 0.0 μB per formula unit. Its formation energy from raw total energies is -2.10 eV per atom.

---

First-principles (GGA-PBE) data for crystalline Pm8Ge5I at its relaxed geometry, as listed in the Alexandria database.

The space group is I-4 (No. 82) and the conventional cell measures 9.1777, 9.1777 and 9.0931 Å, with angles of 90.00, 90.00 and 90.00 degrees. Symmetry generates all atoms from Pm at (0.0685, 0.1894, 0.1842), Pm at (0.0725, 0.3315, 0.5610), Ge at (0.0000, 0.5000, 0.2500), Ge at (0.1309, 0.2505, 0.8723) and I at (0.0000, 0.0000, 0.5000).

The value obtained for the raw total energy is -73.96 eV per formula unit. For the total magnetization, the calculation gives 0.0 μB per formula unit. Its formation energy from raw total energies is -0.81 eV per atom.

---

First-principles (GGA-PBE) data for crystalline Y5Si2Ge5 at its relaxed geometry, as listed in the Alexandria database.

The space group is C2/m (No. 12) and the conventional cell measures 14.6569, 4.0934 and 11.2864 Å, with angles of 90.00, 129.26 and 90.00 degrees. Symmetry generates all atoms from Y at (0.0000, 0.0000, 0.0000), Y at (0.1145, 0.0000, 0.4298), Y at (0.2070, 0.0000, 0.8389), Si at (0.1406, 0.5000, 0.2585), Ge at (0.0000, 0.5000, 0.5000), Ge at (0.0631, 0.5000, 0.8425) and Ge at (0.2439, 0.5000, 0.6877).

The value obtained for the raw total energy is -74.77 eV per formula unit. For the total magnetization, the calculation gives 0.0 μB per formula unit. Its formation energy from raw total energies is -0.71 eV per atom.

---

First-principles (GGA-PBE) data for crystalline Na2AsPdS4 at its relaxed geometry, as listed in the Alexandria database.

The space group is Fddd (No. 70, origin choice 2) and the conventional cell measures 6.7255, 12.9994 and 18.1855 Å, with angles of 90.00, 90.00 and 90.00 degrees. Symmetry generates all atoms from Na at (0.1250, 0.1250, 0.2936), As at (0.1250, 0.1250, 0.6250), Pd at (0.1250, 0.1250, 0.1250) and S at (0.1090, 0.2645, 0.8348).

The value obtained for the raw total energy is -31.81 eV per formula unit. For the total magnetization, the calculation gives 0.0 μB per formula unit. Its formation energy from raw total energies is -0.35 eV per atom.

---

First-principles (GGA-PBE) data for crystalline CrP2 at its relaxed geometry, as listed in the Alexandria database.

The space group is Fmmm (No. 69) and the conventional cell measures 4.4508, 4.4643 and 7.5178 Å, with angles of 90.00, 90.00 and 90.00 degrees. Symmetry generates all atoms from Cr at (0.0000, 0.0000, 0.0000) and P at (0.0000, 0.0000, 0.3363).

The formation energy comes out at -0.017 eV/atom. The value obtained for the raw total energy is -20.49 eV per formula unit. For the total magnetization, the calculation gives 1.3 μB per formula unit.

---

First-principles (GGA-PBE) data for crystalline TcTeSe2 at its relaxed geometry, as listed in the Alexandria database.

The space group is R3m (No. 160, hexagonal axes) and the conventional cell measures 3.4188, 3.4188 and 26.9861 Å, with angles of 90.00, 90.00 and 120.00 degrees. Symmetry generates all atoms from Tc at (0.0000, 0.0000, 0.0000), Te at (0.0000, 0.0000, 0.5957), Se at (0.0000, 0.0000, 0.1793) and Se at (0.0000, 0.0000, 0.7239).

The value obtained for the raw total energy is -20.37 eV per formula unit. For the total magnetization, the calculation gives 0.0 μB per formula unit. Its formation energy from raw total energies is 0.03 eV per atom.

---

First-principles (GGA-PBE) data for crystalline NbS2Br2 at its relaxed geometry, as listed in the Alexandria database.

The space group is C2/m (No. 12) and the conventional cell measures 6.7209, 11.4753 and 7.8427 Å, with angles of 90.00, 109.88 and 90.00 degrees. Symmetry generates all atoms from Nb at (0.0000, 0.1263, 0.0000), S at (0.1366, 0.0000, 0.2765), S at (0.1802, 0.5000, 0.8811) and Br at (0.2275, 0.2043, 0.7897).

The value obtained for the raw total energy is -25.88 eV per formula unit. For the total magnetization, the calculation gives 0.0 μB per formula unit. Its formation energy from raw total energies is -0.84 eV per atom.

---

First-principles (GGA-PBE) data for crystalline Cd2CoP at its relaxed geometry, as listed in the Alexandria database.

The space group is F-43m (No. 216) and the conventional cell measures 6.5152, 6.5152 and 6.5152 Å, with angles of 90.00, 90.00 and 90.00 degrees. Symmetry generates all atoms from Cd at (0.0000, 0.0000, 0.0000), Cd at (0.2500, 0.2500, 0.2500), Co at (0.2500, 0.2500, 0.7500) and P at (0.0000, 0.0000, 0.5000).

The formation energy comes out at 0.501 eV/atom. The value obtained for the raw total energy is -12.34 eV per formula unit. For the total magnetization, the calculation gives 1.5 μB per formula unit.